# Na2B3C

Na2B3C after structural relaxation (PBE, Alexandria).

Results
Crystal system: monoclinic
Calculated density: 2.37 g/cm3
Formation energy from the elements: 0.168 eV/atom
DOS(E_F): 6.8 states/eV per cell
Offset from the most stable computed form: 0.035 eV per atom

The structure in extended XYZ format:
```
30
Lattice="8.9451 -1.4411 0.0000 8.9451 1.4411 0.0000 -5.2636 0.0000 12.2872" Properties=species:S:1:pos:R:3 pbc="T T T"
Na 0.0000 0.0000 0.0000
Na -2.6078 0.0000 6.1159
Na 1.4893 0.0000 4.8871
Na -1.0699 0.0000 10.9991
Na 2.9297 0.0000 9.8111
Na 5.6174 0.0000 3.6750
Na 7.0782 0.0000 8.5528
Na 9.7056 0.0000 2.4452
Na 11.1739 0.0000 7.3394
Na 13.8374 0.0000 1.2136
B -3.6546 0.0000 10.0803
B -0.0939 0.0000 7.0577
B 2.5691 0.0000 0.9766
B 3.0431 0.0000 2.5657
B 4.0363 0.0000 5.9169
B 1.4711 0.0000 12.2295
B 4.5413 0.0000 7.5945
B 8.1428 0.0000 4.6806
B 5.9598 0.0000 12.2762
B 9.5709 0.0000 9.4457
B 12.2729 0.0000 3.5146
B 10.1158 0.0000 11.2295
B 12.7534 0.0000 5.1480
B 13.7301 0.0000 8.4132
B 16.3852 0.0000 2.3062
C -1.0363 0.0000 3.8916
C 0.3838 0.0000 8.6669
C 7.2060 0.0000 1.5035
C 5.5149 0.0000 10.7991
C 8.6178 0.0000 6.2761
```